Entry 1:
First-principles (GGA-PBE) data for an optimized crystal structure of Si2Ir2Br, as listed in Alexandria via LeMat-Bulk.

Output
- energy above the most stable polymorph in this dataset (eV/atom) = 0.0000
- M_tot (μB per formula unit) = 0.00
- V (Å³/cell) = 85
- raw formation energy (eV/atom) = -0.15

Lattice parameters (Å, degrees): 4.1316 4.1316 5.7819 69.07 69.07 90.00
Closest atoms and distances in Å follow each position.
Fractional coordinates of all 5 atoms:
Ir 0.7500 0.2500 0.5000  4 Si 2.42
Ir 0.2500 0.7500 0.5000  4 Si 2.42
Si 0.6234 0.6234 0.7533  4 Ir 2.42, 1 Si 2.46
Si 0.3766 0.3766 0.2467  4 Ir 2.42, 1 Si 2.46
Br 0.0000 0.0000 0.0000  8 Si 3.17, 8 Ir 3.24


Entry 2:
First-principles (GGA-PBE) data for an optimized crystal structure of Tb2YHoS4, as listed in Alexandria via LeMat-Bulk.

Output
- M_tot (μB per formula unit) = 0.00
- V (Å³/cell) = 170
- raw formation energy (eV/atom) = -2.00

Lattice parameters (Å, degrees): 3.8834 6.7977 6.7986 70.88 90.00 90.00
Closest atoms and distances in Å follow each position.
Fractional coordinates of all 8 atoms:
Y 0.5000 0.5000 0.0000  6 S 2.76-2.77
S 0.5000 0.7468 0.2525  2 Ho 2.75, 1 Y 2.77, 3 Tb 2.77-2.78
S 0.0000 0.7479 0.7492  1 Ho 2.75, 2 Y 2.76, 3 Tb 2.77-2.78
S 0.0000 0.2521 0.2508  1 Ho 2.75, 2 Y 2.76, 3 Tb 2.77-2.78
S 0.5000 0.2532 0.7475  2 Ho 2.75, 1 Y 2.77, 3 Tb 2.77-2.78
Ho 0.0000 0.5000 0.5000  6 S 2.75
Tb 0.5000 0.0000 0.5000  6 S 2.77
Tb 0.0000 0.0000 0.0000  6 S 2.78


Entry 3:
First-principles (GGA-PBE) data for an optimized crystal structure of La2CuAs4Pd3, as listed in Alexandria via LeMat-Bulk.

Output
- M_tot (μB per formula unit) = 0.00
- V (Å³/cell) = 198
- E_form (eV/atom) = -0.871

Lattice parameters (Å, degrees): 4.4502 4.4502 10.0023 90.00 90.00 90.00
Closest atoms and distances in Å follow each position.
Fractional coordinates of all 10 atoms:
La 0.0000 0.5000 0.7491  7 Pd 3.34-3.72, 2 Cu 3.34, 8 As 3.35-3.37
La 0.5000 0.0000 0.2509  2 Cu 3.34, 7 Pd 3.34-3.72, 8 As 3.35-3.37
As 0.5000 0.5000 0.0000  4 Pd 2.53
As 0.0000 0.5000 0.3713  3 Pd 2.50-2.57, 2 Cu 2.57
As 0.0000 0.0000 0.0000  4 Pd 2.53
As 0.5000 0.0000 0.6287  3 Pd 2.50-2.57, 2 Cu 2.57
Pd 0.0000 0.0000 0.5000  4 As 2.57
Pd 0.5000 0.0000 0.8791  5 As 2.50-2.53
Pd 0.0000 0.5000 0.1209  5 As 2.50-2.53
Cu 0.5000 0.5000 0.5000  4 As 2.57